VASP calculation (PBE) on a relaxed LiThNiAg crystal.

Structure (POSCAR):
```
LiThNiAg
1.0
4.719 0.000 0.000
2.359 4.086 0.000
2.359 1.362 3.853
Ni Ag Th Li
1 1 1 1
Direct
0.500 0.500 0.500
0.250 0.250 0.250
0.750 0.750 0.750
0.000 0.000 0.000
```

calculated formation energy: -0.048 eV per atom
size of the total moment: 0.00 μB/f.u.



VASP calculation (PBE) on a relaxed LiYNiAg2 crystal.

Structure (POSCAR):
```
LiYNiAg2
1.0
4.997 0.000 0.000
0.000 4.752 0.000
0.000 0.000 4.997
Y Ni Ag Li
1 1 2 1
Direct
0.000 0.500 0.000
0.000 0.000 0.000
0.000 0.000 0.500
0.500 0.000 0.000
0.500 0.500 0.500
```

calculated formation energy: 0.181 eV per atom
size of the total moment: 0.00 μB/f.u.



VASP calculation (PBE) on a relaxed Li2Zn2Ni2Ag crystal.

Structure (POSCAR):
```
Li2Zn2Ni2Ag
1.0
3.811 0.000 0.000
-1.905 4.243 0.366
0.000 -0.969 5.730
Li Zn Ni Ag
2 2 2 1
Direct
0.577 0.154 0.700
0.423 0.846 0.300
0.712 0.424 0.180
0.288 0.576 0.820
0.144 0.288 0.435
0.856 0.712 0.565
0.000 0.000 0.000
```

calculated formation energy: -0.097 eV per atom
size of the total moment: 0.00 μB/f.u.